Below is crystalline SrZnIr2Pt at its relaxed geometry, with properties calculated at the GGA-PBE level. Values from VASP.

Cell and atoms, written as Quantum ESPRESSO input:
```
&SYSTEM
  ibrav = 0, nat = 5, ntyp = 4
/
ATOMIC_SPECIES
Sr 87.62 Sr.upf
Zn 65.41 Zn.upf
Ir 192.22 Ir.upf
Pt 195.08 Pt.upf
ATOMIC_POSITIONS crystal
Sr 0.000 0.000 0.000
Zn 0.500 0.500 0.500
Ir 0.000 0.500 0.000
Ir 0.500 0.000 0.000
Pt 0.000 0.000 0.500
CELL_PARAMETERS angstrom
5.014 0.000 0.000
0.000 5.014 0.000
0.000 0.000 5.139
```

* volume: 129 Å³/f.u.
* symmetry: P4/mmm, No. 123
* energy of formation from the pure elements: 2.30 eV/atom